(1)
{"formula": "NdSc3Ru2", "functional": "GGA-PBE", "state": "optimized geometry", "magmom_total_mub_per_fu": 0.0, "dos_ef_per_ev_fu": 4.84, "space_group": "P4/mmm, No. 123", "formation_energy_ev_per_atom": -0.4230, "lattice": [[3.267, 0.000, 0.000], [0.000, 3.267, 0.000], [0.000, 0.000, 11.697]], "species": ["Nd", "Sc", "Sc", "Sc", "Ru", "Ru"], "frac_coords": [[0.500, 0.500, 0.500], [0.000, 0.000, 0.000], [0.000, 0.000, 0.735], [0.000, 0.000, 0.265], [0.500, 0.500, 0.859], [0.500, 0.500, 0.141]]}

(2)
{"formula": "CaMgIn2", "functional": "GGA-PBE", "state": "optimized geometry", "magmom_total_mub_per_fu": 0.0, "dos_ef_per_ev_fu": 2.37, "space_group": "C2/m, No. 12", "formation_energy_ev_per_atom": -0.2052, "lattice": [[5.326, 0.000, 0.010], [4.174, 3.307, 0.010], [1.161, 0.404, 6.158]], "species": ["Ca", "In", "In", "Mg"], "frac_coords": [[0.250, 0.250, 0.250], [0.009, 0.009, 0.975], [0.491, 0.491, 0.525], [0.750, 0.750, 0.750]]}

(3)
{"formula": "RbGaAs", "functional": "GGA-PBE", "state": "optimized geometry", "magmom_total_mub_per_fu": 0.0, "e_above_lowest_polymorph_mev_per_atom": 36.4, "space_group": "Cm, No. 8", "formation_energy_ev_per_atom": -0.3637, "lattice": [[-0.190, 6.822, -4.650], [2.242, -1.894, -2.870], [-9.388, -9.668, -0.952]], "species": ["As", "As", "As", "As", "Ga", "Ga", "Ga", "Ga", "Rb", "Rb", "Rb", "Rb"], "frac_coords": [[0.915, 0.000, 0.194], [0.915, 0.500, 0.694], [0.427, 0.000, 0.808], [0.427, 0.500, 0.308], [0.093, 0.000, 0.843], [0.093, 0.500, 0.343], [0.233, 0.000, 0.229], [0.233, 0.500, 0.729], [0.492, 0.000, 0.567], [0.492, 0.500, 0.067], [0.865, 0.000, 0.457], [0.865, 0.500, 0.957]]}

(4)
{"formula": "Dy4ZnCuRu2", "functional": "GGA-PBE", "state": "optimized geometry", "magmom_total_mub_per_fu": 0.0, "dos_ef_per_ev_fu": 6.40, "space_group": "R-3m, No. 166", "formation_energy_ev_per_atom": -0.3487, "lattice": [[-2.664, 3.956, 1.039], [-3.943, -0.392, 2.851], [2.323, 2.542, 7.741]], "species": ["Dy", "Dy", "Dy", "Dy", "Zn", "Cu", "Ru", "Ru"], "frac_coords": [[0.377, 0.377, 0.869], [0.874, 0.874, 0.379], [0.126, 0.126, 0.621], [0.623, 0.623, 0.131], [0.000, 0.000, 0.000], [0.500, 0.500, 0.500], [0.749, 0.749, 0.752], [0.251, 0.251, 0.248]]}

(5)
{"formula": "CsSc3S", "functional": "GGA-PBE", "state": "optimized geometry", "magmom_total_mub_per_fu": 1.8, "dos_ef_per_ev_fu": 8.53, "raw_formation_energy_ev_per_atom": -0.002, "space_group": "Pm-3m, No. 221", "lattice": [[-4.503, -1.607, -1.918], [1.999, -4.686, -0.767], [-1.506, -1.414, 4.719]], "species": ["Cs", "Sc", "Sc", "Sc", "S"], "frac_coords": [[0.500, 0.500, 0.500], [0.000, 0.500, 0.000], [0.000, 0.000, 0.500], [0.500, 0.000, 0.000], [0.000, 0.000, 0.000]]}

(6)
{"formula": "LaSiSb2Te", "functional": "GGA-PBE", "state": "optimized geometry", "magmom_total_mub_per_fu": 0.1, "dos_ef_per_ev_fu": 6.63, "e_above_lowest_polymorph_mev_per_atom": 957.8, "raw_formation_energy_ev_per_atom": 0.816, "space_group": "P4/mmm, No. 123", "lattice": [[-5.877, -0.582, 1.292], [-0.283, -4.919, -3.504], [1.382, -3.451, 4.733]], "species": ["Sb", "Sb", "Si", "Te", "La"], "frac_coords": [[0.000, 0.500, 0.000], [0.500, 0.000, 0.000], [0.500, 0.500, 0.500], [0.000, 0.000, 0.500], [0.000, 0.000, 0.000]]}

(7)
{"formula": "NbP2Pt2", "functional": "GGA-PBE", "state": "optimized geometry", "magmom_total_mub_per_fu": 1.0, "dos_ef_per_ev_fu": 1.93, "e_above_lowest_polymorph_mev_per_atom": 0.0, "space_group": "I4/mmm, No. 139", "formation_energy_ev_per_atom": -0.0468, "lattice": [[-0.127, -1.731, -3.365], [1.610, -3.072, 1.519], [-4.458, -4.496, 0.351]], "species": ["P", "P", "Nb", "Pt", "Pt"], "frac_coords": [[0.750, 0.250, 0.500], [0.250, 0.750, 0.500], [0.000, 0.000, 0.000], [0.385, 0.385, 0.229], [0.615, 0.615, 0.771]]}

(8)
{"formula": "AgW", "functional": "GGA-PBE", "state": "optimized geometry", "magmom_total_mub_per_fu": 0.0, "dos_ef_per_ev_fu": 1.09, "e_above_lowest_polymorph_mev_per_atom": 298.8, "space_group": "C2/m, No. 12", "formation_energy_ev_per_atom": 0.6418, "lattice": [[-3.902, -0.424, -2.896], [-2.779, -2.865, -2.803], [4.062, 2.255, 10.220]], "species": ["Ag", "Ag", "W", "W"], "frac_coords": [[0.011, 0.011, 0.761], [0.989, 0.989, 0.989], [0.989, 0.989, 0.487], [0.011, 0.011, 0.263]]}

(9)
{"formula": "MnTeRh2", "functional": "GGA-PBE", "state": "optimized geometry", "magmom_total_mub_per_fu": 4.4, "dos_ef_per_ev_fu": 2.64, "raw_formation_energy_ev_per_atom": -0.076, "space_group": "Cm, No. 8", "lattice": [[-4.032, 2.682, 0.737], [-4.515, -0.596, 1.806], [0.259, 1.298, 4.098]], "species": ["Mn", "Rh", "Rh", "Te"], "frac_coords": [[0.256, 0.256, 0.192], [0.994, 0.994, 0.064], [0.758, 0.758, 0.692], [0.492, 0.492, 0.552]]}

(10)
{"formula": "Ca2MgAl3Au4", "functional": "GGA-PBE", "state": "optimized geometry", "magmom_total_mub_per_fu": 0.0, "dos_ef_per_ev_fu": 3.83, "space_group": "P-4m2, No. 115", "formation_energy_ev_per_atom": -0.6339, "lattice": [[-2.867, 1.702, -2.893], [0.352, -3.631, -2.485], [-8.218, -4.541, 5.472]], "species": ["Ca", "Ca", "Mg", "Al", "Al", "Al", "Au", "Au", "Au", "Au"], "frac_coords": [[0.500, 0.000, 0.241], [0.000, 0.500, 0.759], [0.500, 0.500, 0.500], [0.000, 0.000, 0.500], [0.500, 0.000, 0.874], [0.000, 0.500, 0.126], [0.500, 0.500, 0.000], [0.000, 0.000, 0.000], [0.500, 0.000, 0.642], [0.000, 0.500, 0.358]]}

(11)
{"formula": "AcCuPdN", "functional": "GGA-PBE", "state": "optimized geometry", "magmom_total_mub_per_fu": 0.0, "dos_ef_per_ev_fu": 0.81, "raw_formation_energy_ev_per_atom": -0.612, "space_group": "P4/nmm, No. 129", "lattice": [[3.953, 0.000, 0.000], [0.000, 3.953, 0.000], [0.000, 0.000, 9.238]], "species": ["Ac", "Ac", "Cu", "Cu", "Pd", "Pd", "N", "N"], "frac_coords": [[0.000, 0.500, 0.849], [0.500, 0.000, 0.151], [0.000, 0.500, 0.321], [0.500, 0.000, 0.679], [0.000, 0.000, 0.500], [0.500, 0.500, 0.500], [0.500, 0.000, 0.884], [0.000, 0.500, 0.116]]}

(12)
{"formula": "MgTe4Pb3", "functional": "GGA-PBE", "state": "optimized geometry", "magmom_total_mub_per_fu": 0.0, "raw_formation_energy_ev_per_atom": -0.476, "space_group": "P4/mmm, No. 123", "lattice": [[-2.511, -1.443, -3.534], [2.757, -3.611, -0.485], [-7.386, -6.711, 7.988]], "species": ["Pb", "Pb", "Pb", "Mg", "Te", "Te", "Te", "Te"], "frac_coords": [[0.500, 0.500, 0.755], [0.000, 0.000, 0.500], [0.500, 0.500, 0.245], [0.000, 0.000, 0.000], [0.000, 0.000, 0.234], [0.500, 0.500, 0.000], [0.000, 0.000, 0.766], [0.500, 0.500, 0.500]]}

(13)
{"formula": "ScRhW4", "functional": "GGA-PBE", "state": "optimized geometry", "magmom_total_mub_per_fu": 0.0, "dos_ef_per_ev_fu": 6.15, "space_group": "F-43m, No. 216", "formation_energy_ev_per_atom": 0.2432, "lattice": [[4.720, 0.376, 2.382], [0.326, -0.220, 5.286], [2.129, -4.247, 2.350]], "species": ["Sc", "Rh", "W", "W", "W", "W"], "frac_coords": [[0.000, 0.000, 0.000], [0.750, 0.750, 0.750], [0.879, 0.374, 0.374], [0.374, 0.374, 0.879], [0.374, 0.879, 0.374], [0.374, 0.374, 0.374]]}

(14)
{"formula": "La6Ag3N2", "functional": "GGA-PBE", "state": "optimized geometry", "magmom_total_mub_per_fu": 0.0, "dos_ef_per_ev_fu": 9.60, "raw_formation_energy_ev_per_atom": -0.580, "space_group": "I4/mmm, No. 139", "lattice": [[4.919, 0.000, 0.000], [0.000, 4.919, 0.000], [-2.459, -2.459, 12.763]], "species": ["La", "La", "La", "La", "La", "La", "Ag", "Ag", "Ag", "N", "N"], "frac_coords": [[0.086, 0.586, 0.172], [0.586, 0.086, 0.172], [0.914, 0.414, 0.828], [0.414, 0.914, 0.828], [0.700, 0.700, 0.400], [0.300, 0.300, 0.600], [0.000, 0.000, 0.000], [0.826, 0.826, 0.651], [0.174, 0.174, 0.349], [0.389, 0.389, 0.777], [0.611, 0.611, 0.223]]}

(15)
{"formula": "CdSeCl6", "functional": "GGA-PBE", "state": "optimized geometry", "magmom_total_mub_per_fu": 0.0, "dos_ef_per_ev_fu": 0.00, "raw_formation_energy_ev_per_atom": -0.507, "space_group": "R-3, No. 148", "lattice": [[-0.129, -0.257, 6.409], [5.485, -0.360, 3.308], [2.021, 5.550, 3.475]], "species": ["Cd", "Se", "Cl", "Cl", "Cl", "Cl", "Cl", "Cl"], "frac_coords": [[0.500, 0.500, 0.500], [0.000, 0.000, 0.000], [0.076, 0.395, 0.759], [0.769, 0.076, 0.759], [0.605, 0.231, 0.241], [0.231, 0.924, 0.241], [0.924, 0.605, 0.241], [0.395, 0.769, 0.759]]}

(16)
{"formula": "CdIr5", "functional": "GGA-PBE", "state": "optimized geometry", "magmom_total_mub_per_fu": 0.0, "dos_ef_per_ev_fu": 6.68, "space_group": "Cm, No. 8", "formation_energy_ev_per_atom": 0.1658, "lattice": [[4.824, -2.057, -0.824], [4.861, -1.156, 1.795], [-0.464, -6.330, 2.184]], "species": ["Cd", "Ir", "Ir", "Ir", "Ir", "Ir"], "frac_coords": [[0.993, 0.993, 0.999], [0.619, 0.619, 0.286], [0.333, 0.333, 0.342], [0.947, 0.947, 0.603], [0.676, 0.676, 0.658], [0.266, 0.266, 0.947]]}

(17)
{"formula": "LiMgRe", "functional": "GGA-PBE", "state": "optimized geometry", "magmom_total_mub_per_fu": 0.0, "dos_ef_per_ev_fu": 1.26, "e_above_lowest_polymorph_mev_per_atom": 48.2, "space_group": "C2/m, No. 12", "formation_energy_ev_per_atom": 0.1013, "lattice": [[-3.231, 0.968, 14.170], [2.726, -0.663, 0.667], [1.316, 4.754, -0.658]], "species": ["Li", "Li", "Li", "Li", "Mg", "Mg", "Mg", "Mg", "Re", "Re", "Re", "Re"], "frac_coords": [[0.087, 0.000, 0.362], [0.913, 0.000, 0.638], [0.087, 0.500, 0.862], [0.913, 0.500, 0.138], [0.263, 0.000, 0.084], [0.737, 0.000, 0.916], [0.263, 0.500, 0.584], [0.737, 0.500, 0.416], [0.430, 0.000, 0.808], [0.570, 0.000, 0.192], [0.430, 0.500, 0.308], [0.570, 0.500, 0.692]]}

(18)
{"formula": "Mg2Zr3Cd2", "functional": "GGA-PBE", "state": "optimized geometry", "magmom_total_mub_per_fu": 1.9, "dos_ef_per_ev_fu": 5.12, "space_group": "C2/m, No. 12", "formation_energy_ev_per_atom": 0.0909, "lattice": [[-4.310, 0.788, 2.349], [0.004, -1.804, -4.633], [3.063, -6.658, 2.616]], "species": ["Mg", "Mg", "Zr", "Zr", "Zr", "Cd", "Cd"], "frac_coords": [[0.159, 0.579, 0.738], [0.841, 0.421, 0.262], [0.000, 0.000, 0.000], [0.725, 0.862, 0.587], [0.275, 0.138, 0.413], [0.447, 0.723, 0.170], [0.553, 0.277, 0.830]]}

(19)
{"formula": "Hg3PbCl", "functional": "GGA-PBE", "state": "optimized geometry", "magmom_total_mub_per_fu": 0.0, "dos_ef_per_ev_fu": 1.49, "e_above_lowest_polymorph_mev_per_atom": 0.0, "raw_formation_energy_ev_per_atom": -0.022, "space_group": "Pm-3m, No. 221", "lattice": [[5.784, 0.000, 0.000], [0.000, 5.784, 0.000], [0.000, 0.000, 5.784]], "species": ["Pb", "Hg", "Hg", "Hg", "Cl"], "frac_coords": [[0.000, 0.000, 0.000], [0.000, 0.500, 0.000], [0.000, 0.000, 0.500], [0.500, 0.000, 0.000], [0.500, 0.500, 0.500]]}

(20)
{"formula": "Mn3VW", "functional": "GGA-PBE", "state": "optimized geometry", "magmom_total_mub_per_fu": 10.9, "dos_ef_per_ev_fu": 8.72, "space_group": "Pm-3m, No. 221", "formation_energy_ev_per_atom": 1.5971, "lattice": [[-4.412, -1.252, -0.219], [0.637, -2.860, 3.535], [-1.100, 3.367, 2.922]], "species": ["Mn", "Mn", "Mn", "W", "V"], "frac_coords": [[0.000, 0.500, 0.000], [0.000, 0.000, 0.500], [0.500, 0.000, 0.000], [0.000, 0.000, 0.000], [0.500, 0.500, 0.500]]}

(21)
{"formula": "RbNa3Ta", "functional": "GGA-PBE", "state": "optimized geometry", "magmom_total_mub_per_fu": 5.0, "dos_ef_per_ev_fu": 6.47, "e_above_lowest_polymorph_mev_per_atom": 481.4, "space_group": "Pm-3m, No. 221", "formation_energy_ev_per_atom": 1.6645, "lattice": [[-1.369, 4.949, -2.812], [-3.922, -2.917, -3.223], [-4.125, 1.130, 3.997]], "species": ["Na", "Na", "Na", "Rb", "Ta"], "frac_coords": [[0.000, 0.500, 0.000], [0.000, 0.000, 0.500], [0.500, 0.000, 0.000], [0.000, 0.000, 0.000], [0.500, 0.500, 0.500]]}

(22)
{"formula": "BaAl2Rh", "functional": "GGA-PBE", "state": "optimized geometry", "magmom_total_mub_per_fu": 0.0, "dos_ef_per_ev_fu": 2.40, "space_group": "Cm, No. 8", "formation_energy_ev_per_atom": -0.5402, "lattice": [[-2.444, 2.376, 2.781], [-2.674, -2.016, 2.853], [2.767, -0.047, 5.966]], "species": ["Rh", "Ba", "Al", "Al"], "frac_coords": [[0.676, 0.676, 0.973], [0.497, 0.497, 0.508], [0.019, 0.019, 0.945], [0.308, 0.308, 0.075]]}

(23)
{"formula": "CaLa2ReRh", "functional": "GGA-PBE", "state": "optimized geometry", "magmom_total_mub_per_fu": 0.0, "dos_ef_per_ev_fu": 5.40, "e_above_lowest_polymorph_mev_per_atom": 0.0, "space_group": "P4/mmm, No. 123", "formation_energy_ev_per_atom": 0.3357, "lattice": [[5.655, 0.000, 0.000], [0.000, 4.787, 0.000], [0.000, 0.000, 5.655]], "species": ["Re", "Ca", "Rh", "La", "La"], "frac_coords": [[0.000, 0.500, 0.000], [0.500, 0.500, 0.500], [0.000, 0.000, 0.000], [0.000, 0.000, 0.500], [0.500, 0.000, 0.000]]}

(24)
{"formula": "SrAc2Sb3Pd4", "functional": "GGA-PBE", "state": "optimized geometry", "magmom_total_mub_per_fu": 0.0, "dos_ef_per_ev_fu": 5.13, "raw_formation_energy_ev_per_atom": -0.874, "space_group": "P-4m2, No. 115", "lattice": [[-0.583, -2.078, -4.166], [4.641, -0.592, -0.355], [-0.912, -10.316, 5.274]], "species": ["Sr", "Ac", "Ac", "Sb", "Sb", "Sb", "Pd", "Pd", "Pd", "Pd"], "frac_coords": [[0.500, 0.500, 0.500], [0.500, 0.000, 0.213], [0.000, 0.500, 0.787], [0.000, 0.000, 0.500], [0.500, 0.000, 0.877], [0.000, 0.500, 0.123], [0.500, 0.500, 0.000], [0.000, 0.000, 0.000], [0.500, 0.000, 0.652], [0.000, 0.500, 0.348]]}

(25)
{"formula": "MnNbTe2N", "functional": "GGA-PBE", "state": "optimized geometry", "magmom_total_mub_per_fu": 5.0, "dos_ef_per_ev_fu": 3.20, "e_above_lowest_polymorph_mev_per_atom": 0.0, "raw_formation_energy_ev_per_atom": 0.307, "space_group": "P4/mmm, No. 123", "lattice": [[-5.349, 1.550, -0.319], [-0.216, -1.830, -5.265], [-1.099, -3.529, 1.272]], "species": ["Nb", "Te", "Te", "Mn", "N"], "frac_coords": [[0.000, 0.000, 0.000], [0.000, 0.500, 0.000], [0.500, 0.000, 0.000], [0.500, 0.500, 0.500], [0.000, 0.000, 0.500]]}

(26)
{"formula": "In2SbPd2", "functional": "GGA-PBE", "state": "optimized geometry", "magmom_total_mub_per_fu": 0.0, "dos_ef_per_ev_fu": 2.13, "e_above_lowest_polymorph_mev_per_atom": 0.0, "raw_formation_energy_ev_per_atom": -0.326, "space_group": "P4/mbm, No. 127", "lattice": [[-1.853, -1.459, 7.576], [7.602, -1.673, 1.537], [0.532, 3.086, 0.724]], "species": ["Sb", "Sb", "Pd", "Pd", "Pd", "Pd", "In", "In", "In", "In"], "frac_coords": [[0.000, 0.000, 0.000], [0.500, 0.500, 0.000], [0.355, 0.855, 0.000], [0.855, 0.645, 0.000], [0.645, 0.145, 0.000], [0.145, 0.355, 0.000], [0.152, 0.652, 0.500], [0.652, 0.848, 0.500], [0.848, 0.348, 0.500], [0.348, 0.152, 0.500]]}